DFT (GGA+U) results for a relaxed KCoP3O9 crystal.

Values from the calculation:
ρ: 2.339 Mg/m³
crystal system: triclinic
polymorph energy (0 for the lowest one): 57 meV/atom
V: 16.98 Å³/atom

Cell: 7.223 7.509 10.307 Å, 92.44 104.36 116.81°
Fractional positions:
1 K 0.133 0.422 0.049
2 K 0.493 0.445 0.387
3 Co 0.705 0.043 0.483
4 Co 0.695 0.545 0.006
5 P 0.252 0.110 0.860
6 P 0.855 0.338 0.268
7 P 0.599 0.152 0.757
8 P 0.745 0.846 0.745
9 P 0.631 0.895 0.192
10 P 0.212 0.928 0.104
11 O 0.712 0.866 0.336
12 O 0.773 0.276 0.393
13 O 0.720 0.422 0.181
14 O 0.098 0.449 0.299
15 O 0.405 0.893 0.192
16 O 0.284 0.967 0.960
17 O 0.358 0.330 0.917
18 O 0.685 0.819 0.591
19 O 0.617 0.175 0.616
20 O 0.713 0.672 0.814
21 O 0.002 0.032 0.795
22 O 0.631 0.961 0.801
23 O 0.732 0.323 0.875
24 O 0.584 0.734 0.078
25 O 0.213 0.112 0.163
26 O 0.778 0.114 0.168
27 O 0.338 0.063 0.741
28 O 0.017 0.723 0.066